Entry 1:
# Sm3Er6Tm2Pu, relaxed, DFT PBE
# Energy of formation from the pure elements, meV/atom: 43
data_Sm3Er6Tm2Pu
_chemical_formula_sum 'Sm6 Er12 Tm4 Pu2'
_symmetry_space_group_name_H-M 'C 1 2/m 1'
_symmetry_Int_Tables_number 12
_symmetry_space_group_name_Hall '-C 2y'
_cell_length_a 6.104
_cell_length_b 10.572
_cell_length_c 11.627
_cell_angle_alpha 90.00
_cell_angle_beta 100.09
_cell_angle_gamma 90.00
loop_
_atom_site_label
_atom_site_fract_x
_atom_site_fract_y
_atom_site_fract_z
_atom_site_occupancy
Sm1 0.000 0.000 0.000 1
Sm2 0.000 0.333 0.000 1
Er1 0.246 0.335 0.745 1
Er2 0.248 0.500 0.255 1
Tm1 0.000 0.167 0.500 1
Pu1 0.000 0.500 0.500 1

Entry 2:
# Sm6Er2Tm3Pu, relaxed, DFT PBE
# Energy of formation from the pure elements, meV/atom: 44
data_Sm6Er2Tm3Pu
_chemical_formula_sum 'Sm12 Er4 Tm6 Pu2'
_symmetry_space_group_name_H-M 'C 1 2/m 1'
_symmetry_Int_Tables_number 12
_symmetry_space_group_name_Hall '-C 2y'
_cell_length_a 6.171
_cell_length_b 10.690
_cell_length_c 11.680
_cell_angle_alpha 90.00
_cell_angle_beta 100.15
_cell_angle_gamma 90.00
loop_
_atom_site_label
_atom_site_fract_x
_atom_site_fract_y
_atom_site_fract_z
_atom_site_occupancy
Sm1 0.247 0.000 0.251 1
Sm2 0.248 0.165 0.749 1
Er1 0.000 0.333 0.500 1
Tm1 0.000 0.167 0.000 1
Tm2 0.000 0.500 0.000 1
Pu1 0.000 0.000 0.500 1